BaHg2Cl, PBEsol geometry, DFT meta-GGA SCAN; total energy = -188.32 eV/f.u.; space-group type = No. 99; formation energy from raw total energies = -1.114 eV per atom; magnetization = 0.000 μB/atom
1.0
4.147 0.000 0.000
0.000 4.147 0.000
0.000 0.000 6.907
Ba Hg Cl
1 2 1
direct
0.000 0.000 0.553 Ba
0.500 0.500 0.196 Hg
0.000 0.000 0.061 Hg
0.500 0.500 0.689 Cl



Ba2HgCl, PBEsol geometry, DFT meta-GGA SCAN; total energy = -157.66 eV/f.u.; space-group type = No. 216; formation energy from raw total energies = -0.604 eV per atom; magnetization = 0.000 μB/atom
1.0
5.615 0.000 0.000
2.808 4.863 0.000
2.808 1.621 4.585
Hg Ba Cl
1 2 1
direct
0.250 0.250 0.250 Hg
0.750 0.750 0.750 Ba
0.000 0.000 0.000 Ba
0.500 0.500 0.500 Cl



Ba2HgCl, PBEsol geometry, DFT meta-GGA SCAN; total energy = -159.70 eV/f.u.; space-group type = No. 225; formation energy from raw total energies = -1.115 eV per atom; magnetization = 0.000 μB/atom
1.0
5.754 0.000 0.000
2.877 4.983 0.000
2.877 1.661 4.698
Cl Ba Hg
1 2 1
direct
0.500 0.500 0.500 Cl
0.750 0.750 0.750 Ba
0.250 0.250 0.250 Ba
0.000 0.000 0.000 Hg



BaHgICl2, PBEsol geometry, DFT meta-GGA SCAN; total energy = -166.61 eV/f.u.; space-group type = No. 123; formation energy from raw total energies = -1.239 eV per atom; magnetization = 0.000 μB/atom
1.0
5.462 0.000 0.000
0.000 5.462 0.000
0.000 0.000 5.727
I Ba Hg Cl
1 1 1 2
direct
0.000 0.000 0.500 I
0.500 0.500 0.500 Ba
0.000 0.000 0.000 Hg
0.500 0.000 0.000 Cl
0.000 0.500 0.000 Cl